## TbEr2Al2 (GGA-PBE)

Data for a relaxed structure of TbEr2Al2.

Unit cell a=5.5607 b=3.6117 c=13.2687 alpha=90.00 beta=96.21 gamma=90.00
Last column: nearest neighbours and their distance in Å.
Sites, in units of the cell vectors:
Tb 0.1814 0.2500 0.2349  2 Al 3.12
Tb 0.8186 0.7500 0.7651  2 Al 3.12
Er 0.2404 0.7500 0.4621  4 Al 3.16-3.21, 4 Er 3.46, 2 Tb 3.50
Er 0.3466 0.2500 0.8884  5 Al 2.85-3.03
Er 0.6534 0.7500 0.1116  5 Al 2.85-3.03
Er 0.7596 0.2500 0.5379  4 Al 3.16-3.21, 4 Er 3.46, 2 Tb 3.50
Al 0.1500 0.7500 0.0424  2 Al 2.63, 1 Er 2.85
Al 0.2929 0.2500 0.6587  5 Er 3.03-3.21
Al 0.7071 0.7500 0.3413  5 Er 3.03-3.21
Al 0.8500 0.2500 0.9576  2 Al 2.63, 1 Er 2.85

Values from the calculation:
As for the raw total energy: -43.918 eV for the cell shown. The value obtained for the volume is 264.92 Å³/cell. The value obtained for the formation energy is -3.3 kcal/mol of atoms. The symmetry is P2_1/m (11).